## K2CdGaSe4 (PBE-GGA)

Data for K2CdGaSe4 after structural relaxation.

The structure in POSCAR format:
```
K2CdGaSe4
1.0
-3.996 3.996 3.561
3.996 -3.996 3.561
3.996 3.996 -3.561
K Cd Ga Se
2 1 1 4
Direct
0.000 0.500 0.500
0.500 0.000 0.500
0.000 0.000 0.000
0.500 0.500 0.000
0.109 0.109 0.671
0.438 0.438 0.329
0.562 0.891 0.000
0.891 0.562 0.000
```

Output
Symmetry: I-42m (121)
Total moment: 0.00 μB/f.u.
Formation energy (no corrections): -771 meV/atom
V: 227 Å³ per cell


## K2CdGa4Sn3 (PBE-GGA)

Data for K2CdGa4Sn3 after structural relaxation.

The structure in POSCAR format:
```
K2CdGa4Sn3
1.0
4.854 0.000 0.000
0.000 4.854 0.000
0.000 0.000 11.553
K Cd Ga Sn
2 1 4 3
Direct
0.000 0.500 0.247
0.500 0.000 0.753
0.000 0.000 0.500
0.000 0.000 0.000
0.000 0.500 0.632
0.500 0.000 0.368
0.500 0.500 0.000
0.000 0.500 0.871
0.500 0.000 0.129
0.500 0.500 0.500
```

Output
Symmetry: P-4m2 (115)
Total moment: 0.00 μB/f.u.
ΔH_f (0 K): -0.156 eV per atom
V: 272 Å³ per cell


## KCdGaSn2 (PBE-GGA)

Data for KCdGaSn2 after structural relaxation.

The structure in POSCAR format:
```
KCdGaSn2
1.0
6.035 0.000 0.000
0.000 6.035 0.000
0.000 0.000 5.679
K Cd Ga Sn
1 1 1 2
Direct
0.000 0.000 0.000
0.500 0.500 0.500
0.000 0.000 0.500
0.000 0.500 0.000
0.500 0.000 0.000
```

Output
Symmetry: P4/mmm (123)
Total moment: 0.00 μB/f.u.
Energy above the most stable polymorph in this dataset: 1183 meV/atom
ΔH_f (0 K): 1.034 eV per atom
V: 207 Å³ per cell


## KCdGaSn2 (PBE-GGA)

Data for KCdGaSn2 after structural relaxation.

The structure in POSCAR format:
```
KCdGaSn2
1.0
-2.492 2.492 5.942
2.492 -2.492 5.942
2.492 2.492 -5.942
K Cd Ga Sn
1 1 1 2
Direct
0.000 0.000 0.000
0.250 0.750 0.500
0.750 0.250 0.500
0.378 0.378 0.000
0.622 0.622 0.000
```

Output
Symmetry: I-4m2 (119)
Total moment: 0.00 μB/f.u.
Energy above the most stable polymorph in this dataset: 0 meV/atom
ΔH_f (0 K): -0.149 eV per atom
V: 148 Å³ per cell


## KCdGa2Sn (PBE-GGA)

Data for KCdGa2Sn after structural relaxation.

The structure in POSCAR format:
```
KCdGa2Sn
1.0
-2.367 2.368 5.896
2.367 -2.368 5.896
2.367 2.368 -5.896
K Cd Ga Sn
1 1 2 1
Direct
0.000 0.000 0.000
0.260 0.760 0.500
0.382 0.382 0.000
0.762 0.262 0.500
0.615 0.615 0.000
```

Output
Symmetry: Imm2 (44)
Total moment: 0.00 μB/f.u.
ΔH_f (0 K): -0.135 eV per atom
V: 132 Å³ per cell


## KCdGa2Tc (PBE-GGA)

Data for KCdGa2Tc after structural relaxation.

The structure in POSCAR format:
```
KCdGa2Tc
1.0
4.894 0.000 0.000
0.000 4.894 0.000
0.000 0.000 5.361
K Cd Ga Tc
1 1 2 1
Direct
0.000 0.000 0.000
0.500 0.500 0.000
0.000 0.500 0.500
0.500 0.000 0.500
0.500 0.500 0.500
```

Output
Symmetry: P4/mmm (123)
Total moment: 0.00 μB/f.u.
ΔH_f (0 K): 0.030 eV per atom
V: 128 Å³ per cell


## K2CdGaTe4 (PBE-GGA)

Data for K2CdGaTe4 after structural relaxation.

The structure in POSCAR format:
```
K2CdGaTe4
1.0
-4.243 4.243 3.792
4.243 -4.243 3.792
4.243 4.243 -3.792
K Cd Ga Te
2 1 1 4
Direct
0.000 0.500 0.500
0.500 0.000 0.500
0.000 0.000 0.000
0.500 0.500 0.000
0.100 0.100 0.662
0.438 0.438 0.338
0.562 0.900 0.000
0.900 0.562 0.000
```

Output
Symmetry: I-42m (121)
Total moment: 0.00 μB/f.u.
Formation energy (no corrections): -602 meV/atom
V: 273 Å³ per cell


## KTlCdGa (PBE-GGA)

Data for KTlCdGa after structural relaxation.

The structure in POSCAR format:
```
KTlCdGa
1.0
0.000 3.827 3.827
3.827 0.000 3.827
3.827 3.827 0.000
K Tl Cd Ga
1 1 1 1
Direct
0.000 0.000 0.000
0.250 0.250 0.250
0.750 0.750 0.750
0.500 0.500 0.500
```

Output
Symmetry: F-43m (216)
Total moment: 0.00 μB/f.u.
ΔH_f (0 K): 0.065 eV per atom
V: 112 Å³ per cell


Q: The lowest V belongs to which entry?
A: KTlCdGa